# 1
DFT (PBE) results for a geometry-optimized CaPmZnCd structure.

Cell: 7.4982 7.4982 7.4982 Å, 90.00 90.00 90.00°
Closest atoms and distances in Å follow each position.
Space group F-43m (No. 216)
Symmetry-distinct sites (fractional):
Ca1 0.0000 0.0000 0.0000 [4 per cell]  4 Cd 3.25, 4 Zn 3.25
Pm1 0.0000 0.0000 0.5000 [4 per cell]  4 Cd 3.25, 4 Zn 3.25
Zn1 0.2500 0.2500 0.7500 [4 per cell]  4 Ca 3.25, 4 Pm 3.25
Cd1 0.2500 0.2500 0.2500 [4 per cell]  4 Ca 3.25, 4 Pm 3.25

## Properties
- Raw total energy: -40.82 eV for the cell shown
- DOS(E_F): 0.81 states/eV per atom
- E above lowest polymorph: 0.0 meV per atom
- ΔE_f: -0.3158 eV/atom

# 2
DFT (PBE) results for a geometry-optimized HoBSe structure.

Cell: 3.7299 3.7300 9.9579 Å, 90.84 91.48 90.01°
Closest atoms and distances in Å follow each position.
Space group P-1 (No. 2)
Symmetry-distinct sites (fractional):
Ho1 0.2406 0.2446 0.3678 [2 per cell]  5 B 2.46-2.64
B1 0.2582 0.2547 0.6152 [2 per cell]  1 Se 1.93
Se1 0.2717 0.2624 0.8092 [2 per cell]  1 B 1.93

## Properties
- Raw total energy: -32.70 eV for the cell shown
- DOS(E_F): 0.43 states/eV per atom
- E above lowest polymorph: 445.1 meV per atom
- Formation energy without anion corrections: -12.37 kcal/mol of atoms

# 3
DFT (PBE) results for a geometry-optimized Sm3Zn2Pd7 structure.

Cell: 4.2048 29.5329 4.0167 Å, 90.00 90.00 90.00°
Closest atoms and distances in Å follow each position.
Space group Cmmm (No. 65)
Symmetry-distinct sites (fractional):
Sm1 0.0000 0.0000 0.0000 [2 per cell]  4 Pd 2.91
Sm2 0.0000 0.2010 0.0000 [4 per cell]  8 Pd 2.86-2.93
Zn1 0.0000 0.4177 0.5000 [4 per cell]  5 Pd 2.43-2.56
Pd1 0.0000 0.1320 0.5000 [4 per cell]  2 Zn 2.56, 2 Sm 2.86
Pd2 0.0000 0.2881 0.5000 [4 per cell]  6 Sm 2.93-3.26, 6 Pd 3.02-3.16
Pd3 0.0000 0.3644 0.0000 [4 per cell]  2 Zn 2.55, 2 Sm 2.86
Pd4 0.0000 0.5000 0.5000 [2 per cell]  2 Zn 2.43

## Properties
- Raw total energy: -119.15 eV for the cell shown
- DOS(E_F): 0.45 states/eV per atom
- E above lowest polymorph: 129.4 meV per atom
- ΔE_f: -0.5435 eV/atom

# 4
DFT (PBE) results for a geometry-optimized MgZn2In structure.

Cell: 3.2560 3.2560 26.4701 Å, 90.00 90.00 120.00°
Closest atoms and distances in Å follow each position.
Space group R-3m (No. 166, hexagonal axes)
Symmetry-distinct sites (fractional):
Mg1 0.0000 0.0000 0.0000 [3 per cell]  6 Zn 2.85
Zn1 0.0000 0.0000 0.2526 [6 per cell]  3 Mg 2.85, 3 In 2.95
In1 0.0000 0.0000 0.5000 [3 per cell]  6 Zn 2.95, 6 In 3.26

## Properties
- Raw total energy: -19.99 eV for the cell shown
- DOS(E_F): 0.64 states/eV per atom
- ΔE_f: 0.0542 eV/atom

# 5
DFT (PBE) results for a geometry-optimized Nd8Ho5Cd structure.

Cell: 10.4216 10.4216 8.8502 Å, 90.00 90.00 90.00°
Closest atoms and distances in Å follow each position.
Space group I-4 (No. 82)
Symmetry-distinct sites (fractional):
Nd1 0.0114 0.3379 0.4280 [8 per cell]  2 Ho 3.31-3.58, 1 Cd 3.31, 2 Nd 3.39-3.59
Nd2 0.1646 0.2491 0.7756 [8 per cell]  1 Cd 3.14, 3 Ho 3.31-3.48
Ho1 0.0000 0.0000 0.5000 [2 per cell]  8 Nd 3.58-3.95, 4 Ho 3.68
Ho2 0.0603 0.1509 0.1307 [8 per cell]  4 Nd 3.31-3.48, 4 Ho 3.33-3.68
Cd1 0.0000 0.5000 0.7500 [2 per cell]  8 Nd 3.14-3.31

## Properties
- Raw total energy: -118.50 eV for the cell shown
- DOS(E_F): 1.75 states/eV per atom
- ΔE_f: 0.1926 eV/atom

# 6
DFT (PBE) results for a geometry-optimized NpSbRuRh structure.

Cell: 6.6650 6.6650 6.6650 Å, 90.00 90.00 90.00°
Closest atoms and distances in Å follow each position.
Space group F-43m (No. 216)
Symmetry-distinct sites (fractional):
Np1 0.0000 0.0000 0.0000 [4 per cell]  4 Ru 2.89, 4 Rh 2.89
Sb1 0.0000 0.0000 0.5000 [4 per cell]  4 Rh 2.89, 4 Ru 2.89
Ru1 0.2500 0.2500 0.7500 [4 per cell]  4 Sb 2.89, 4 Np 2.89
Rh1 0.2500 0.2500 0.2500 [4 per cell]  4 Sb 2.89, 4 Np 2.89

## Properties
- Raw total energy: -138.07 eV for the cell shown
- DOS(E_F): 1.98 states/eV per atom
- Formation energy without anion corrections: -4.76 kcal/mol of atoms

Number 1: total magnetic moment 0.00 μB per cell. Number 2: total magnetic moment 0.00 μB per cell. Number 3: total magnetic moment 0.00 μB per cell. Number 4: total magnetic moment 0.00 μB per cell. Number 5: total magnetic moment 0.00 μB per cell. Number 6: total magnetic moment 13.12 μB per cell.